Density functional theory data (PBE-GGA) for a geometry-optimized Na2PmPb structure.

For the formation energy, the calculation gives -0.695 eV/f.u. As for the total energy: -2.948 eV per atom. The offset from the most stable computed form is 0.000 eV/f.u. For the density of states at the Fermi level, the calculation gives 3.5 states/eV/cell. The calculation puts the magnetic moment at 0.00 μB per cell.

Cell lengths 5.7118, 4.6287, 4.6287 Å; angles 90.00, 90.00, 90.00 degrees
Closest atoms and distances in Å follow each position.
Sites, in units of the cell vectors:
Na1 0.0000 0.0000 0.5000  4 Na 3.27
Pm1 0.5000 0.0000 0.0000  4 Pb 3.27
Na2 0.0000 0.5000 0.0000  4 Na 3.27
Pb1 0.5000 0.5000 0.5000  4 Pm 3.27